The following is a PBE calculation of crystalline RbScSn3 at its relaxed geometry, from Alexandria via LeMat-Bulk.

a = 5.6272 Å, b = 5.6272 Å, c = 5.6272 Å
α = 90.00°, β = 90.00°, γ = 90.00°
With the nearest neighbours (Å) after each atom.
Positions (direct):
Rb (0.0000, 0.0000, 0.0000)  12 Sn 3.98
Sc (0.5000, 0.5000, 0.5000)  6 Sn 2.81
Sn (0.0000, 0.5000, 0.5000)  2 Sc 2.81
Sn (0.5000, 0.0000, 0.5000)  2 Sc 2.81
Sn (0.5000, 0.5000, 0.0000)  2 Sc 2.81

Results
The total magnetization is 0.00 μB/atom. The raw total energy comes out at -19.5 eV/cell. As for the formation energy from the elements: -0.042 eV per atom.